A.
Here is a relaxed BaCa crystal from the Alexandria database. Energies are from GGA-PBEsol.

- DOS(E_F) (states/eV/f.u.) = 2.343

Lattice parameters (Å, degrees): 4.0673 6.6352 7.1021 90.00 90.00 90.00
Space group Pmmn (No. 59, origin choice 2)
Inequivalent atoms, fractional coordinates:
Ba (0.2500, 0.2500, 0.0915) (multiplicity 2)
Ca (0.2500, 0.7500, 0.4163) (multiplicity 2)

***

B.
Here is a relaxed BaCa crystal from the Alexandria database. Energies are from GGA-PBEsol.

- DOS(E_F) (states/eV/f.u.) = 2.716

Lattice parameters (Å, degrees): 4.0594 4.0594 6.7413 90.00 90.00 120.00
Space group P-6m2 (No. 187)
Inequivalent atoms, fractional coordinates:
Ba (0.0000, 0.0000, 0.0000) (multiplicity 1)
Ca (0.3333, 0.6667, 0.5000) (multiplicity 1)

***

Of them, B has the lowest stability.

***

A.
Here is a relaxed BaCa crystal from the Alexandria database. Energies are from GGA-PBEsol.

- DOS(E_F) (states/eV/f.u.) = 3.592

Lattice parameters (Å, degrees): 4.6276 4.6276 4.6276 90.00 90.00 90.00
Space group Pm-3m (No. 221)
Inequivalent atoms, fractional coordinates:
Ba (0.0000, 0.0000, 0.0000) (multiplicity 1)
Ca (0.5000, 0.5000, 0.5000) (multiplicity 1)

***

B.
Here is a relaxed BaCa crystal from the Alexandria database. Energies are from GGA-PBEsol.

- DOS(E_F) (states/eV/f.u.) = 2.917

Lattice parameters (Å, degrees): 4.0664 4.0664 13.5187 90.00 90.00 120.00
Space group P6_3/mmc (No. 194)
Inequivalent atoms, fractional coordinates:
Ba (0.0000, 0.0000, 0.0000) (multiplicity 2)
Ca (0.3333, 0.6667, 0.2500) (multiplicity 2)

***

C.
Here is a relaxed BaCa crystal from the Alexandria database. Energies are from GGA-PBEsol.

- DOS(E_F) (states/eV/f.u.) = 2.749

Lattice parameters (Å, degrees): 4.0690 4.0690 20.2618 90.00 90.00 120.00
Space group R-3m (No. 166, hexagonal axes)
Inequivalent atoms, fractional coordinates:
Ba (0.0000, 0.0000, 0.0000) (multiplicity 3)
Ca (0.0000, 0.0000, 0.5000) (multiplicity 3)

***

Of them, B has the lowest stability.

***

A.
Here is a relaxed BaCa2 crystal from the Alexandria database. Energies are from GGA-PBEsol.

- DOS(E_F) (states/eV/f.u.) = 3.960

Lattice parameters (Å, degrees): 3.9711 20.9930 6.5934 90.00 90.00 90.00
Space group Cmcm (No. 63)
Inequivalent atoms, fractional coordinates:
Ba (0.0000, 0.1126, 0.2500) (multiplicity 4)
Ca (0.0000, 0.2189, 0.7500) (multiplicity 4)
Ca (0.0000, 0.4434, 0.2500) (multiplicity 4)

***

B.
Here is a relaxed BaCa2 crystal from the Alexandria database. Energies are from GGA-PBEsol.

- DOS(E_F) (states/eV/f.u.) = 4.236

Lattice parameters (Å, degrees): 14.9768 3.9844 9.5482 90.00 105.59 90.00
Space group Cm (No. 8)
Inequivalent atoms, fractional coordinates:
Ba (0.0000, 0.0000, 0.0000) (multiplicity 2)
Ba (0.1719, 0.5000, 0.3442) (multiplicity 2)
Ca (0.0543, 0.0000, 0.6190) (multiplicity 2)
Ca (0.2281, 0.5000, 0.9428) (multiplicity 2)
Ca (0.3356, 0.0000, 0.6709) (multiplicity 2)
Ca (0.3924, 0.0000, 0.2883) (multiplicity 2)

***

Of them, B has the lowest stability.

***

A.
Here is a relaxed BaCa2 crystal from the Alexandria database. Energies are from GGA-PBEsol.

- DOS(E_F) (states/eV/f.u.) = 4.086

Lattice parameters (Å, degrees): 4.0654 4.0654 16.8513 90.00 90.00 90.00
Space group I4/mmm (No. 139)
Inequivalent atoms, fractional coordinates:
Ba (0.0000, 0.0000, 0.0000) (multiplicity 2)
Ca (0.0000, 0.0000, 0.3254) (multiplicity 4)

***

B.
Here is a relaxed BaCa2 crystal from the Alexandria database. Energies are from GGA-PBEsol.

- DOS(E_F) (states/eV/f.u.) = 4.512

Lattice parameters (Å, degrees): 6.4759 6.4759 7.5634 90.00 90.00 120.00
Space group P6_3/mmc (No. 194)
Inequivalent atoms, fractional coordinates:
Ba (0.3333, 0.6667, 0.2500) (multiplicity 2)
Ca (0.0000, 0.0000, 0.0000) (multiplicity 2)
Ca (0.3333, 0.6667, 0.7500) (multiplicity 2)

***

Of them, B has the lowest stability.

***

A.
Here is a relaxed Ba5Ca crystal from the Alexandria database. Energies are from GGA-PBEsol.

- DOS(E_F) (states/eV/f.u.) = 8.322

Lattice parameters (Å, degrees): 6.9611 4.2647 22.1118 90.00 90.00 90.00
Space group Amm2 (No. 38)
Inequivalent atoms, fractional coordinates:
Ba (0.0000, 0.0000, 0.0000) (multiplicity 2)
Ba (0.0000, 0.0000, 0.3239) (multiplicity 2)
Ba (0.5000, 0.0000, 0.2150) (multiplicity 2)
Ba (0.5000, 0.0000, 0.5521) (multiplicity 2)
Ba (0.5000, 0.0000, 0.8849) (multiplicity 2)
Ca (0.0000, 0.0000, 0.6621) (multiplicity 2)

***

B.
Here is a relaxed Ba5Ca crystal from the Alexandria database. Energies are from GGA-PBEsol.

- DOS(E_F) (states/eV/f.u.) = 8.898

Lattice parameters (Å, degrees): 6.7611 14.4087 6.7679 90.00 90.00 90.00
Space group Cmmm (No. 65)
Inequivalent atoms, fractional coordinates:
Ba (0.0000, 0.0000, 0.0000) (multiplicity 2)
Ba (0.0000, 0.1610, 0.5000) (multiplicity 4)
Ba (0.0000, 0.3380, 0.0000) (multiplicity 4)
Ca (0.0000, 0.5000, 0.5000) (multiplicity 2)

***

Of them, A has the lowest stability.

***

A.
Here is a relaxed Ba5Ca crystal from the Alexandria database. Energies are from GGA-PBEsol.

- DOS(E_F) (states/eV/f.u.) = 9.631

Lattice parameters (Å, degrees): 15.8517 4.2569 10.1209 90.00 105.39 90.00
Space group Cm (No. 8)
Inequivalent atoms, fractional coordinates:
Ba (0.0000, 0.0000, 0.0000) (multiplicity 2)
Ba (0.0547, 0.0000, 0.5974) (multiplicity 2)
Ba (0.2186, 0.5000, 0.9405) (multiplicity 2)
Ba (0.3259, 0.0000, 0.6527) (multiplicity 2)
Ba (0.3817, 0.0000, 0.2712) (multiplicity 2)
Ca (0.1635, 0.5000, 0.3246) (multiplicity 2)

***

B.
Here is a relaxed Ba5Ca crystal from the Alexandria database. Energies are from GGA-PBEsol.

- DOS(E_F) (states/eV/f.u.) = 8.631

Lattice parameters (Å, degrees): 7.3761 7.3761 6.9627 90.00 90.00 120.00
Space group P-62m (No. 189)
Inequivalent atoms, fractional coordinates:
Ba (0.0000, 0.3291, 0.0000) (multiplicity 3)
Ba (0.3333, 0.6667, 0.5000) (multiplicity 2)
Ca (0.0000, 0.0000, 0.5000) (multiplicity 1)

***

C.
Here is a relaxed Ba5Ca crystal from the Alexandria database. Energies are from GGA-PBEsol.

- DOS(E_F) (states/eV/f.u.) = 7.998

Lattice parameters (Å, degrees): 4.8449 4.8449 14.1196 90.00 90.00 90.00
Space group P4/mmm (No. 123)
Inequivalent atoms, fractional coordinates:
Ba (0.0000, 0.0000, 0.0000) (multiplicity 1)
Ba (0.0000, 0.0000, 0.3471) (multiplicity 2)
Ba (0.5000, 0.5000, 0.1731) (multiplicity 2)
Ca (0.5000, 0.5000, 0.5000) (multiplicity 1)

***

Of them, A has the lowest stability.

***

A.
Here is a relaxed Ba2Ca crystal from the Alexandria database. Energies are from GGA-PBEsol.

- DOS(E_F) (states/eV/f.u.) = 6.212

Lattice parameters (Å, degrees): 6.6247 6.6247 4.3069 90.00 90.00 90.00
Space group P4/mmm (No. 123)
Inequivalent atoms, fractional coordinates:
Ba (0.0000, 0.5000, 0.0000) (multiplicity 2)
Ca (0.0000, 0.0000, 0.5000) (multiplicity 1)

***

B.
Here is a relaxed Ba2Ca crystal from the Alexandria database. Energies are from GGA-PBEsol.

- DOS(E_F) (states/eV/f.u.) = 4.500

Lattice parameters (Å, degrees): 8.2434 6.1764 12.3684 90.00 90.00 90.00
Space group Pnma (No. 62)
Inequivalent atoms, fractional coordinates:
Ba (0.1132, 0.2500, 0.2458) (multiplicity 4)
Ba (0.1368, 0.2500, 0.5830) (multiplicity 4)
Ca (0.1304, 0.2500, 0.9191) (multiplicity 4)

***

C.
Here is a relaxed Ba2Ca crystal from the Alexandria database. Energies are from GGA-PBEsol.

- DOS(E_F) (states/eV/f.u.) = 4.249

Lattice parameters (Å, degrees): 9.5491 9.5491 7.3694 90.00 90.00 90.00
Space group I4/mcm (No. 140)
Inequivalent atoms, fractional coordinates:
Ba (0.1595, 0.3405, 0.0000) (multiplicity 8)
Ca (0.0000, 0.0000, 0.2500) (multiplicity 4)

***

D.
Here is a relaxed Ba2Ca crystal from the Alexandria database. Energies are from GGA-PBEsol.

- DOS(E_F) (states/eV/f.u.) = 5.815

Lattice parameters (Å, degrees): 11.4984 11.4984 4.0929 90.00 90.00 120.00
Space group P-62m (No. 189)
Inequivalent atoms, fractional coordinates:
Ba (0.0000, 0.3567, 0.0000) (multiplicity 3)
Ba (0.0000, 0.6913, 0.5000) (multiplicity 3)
Ca (0.0000, 0.0000, 0.0000) (multiplicity 1)
Ca (0.3333, 0.6667, 0.5000) (multiplicity 2)

***

Of them, A has the lowest stability.

***

A.
Here is a relaxed Ba2Ca crystal from the Alexandria database. Energies are from GGA-PBEsol.

- DOS(E_F) (states/eV/f.u.) = 5.586

Lattice parameters (Å, degrees): 6.6984 6.6984 3.9818 90.00 90.00 120.00
Space group P6/mmm (No. 191)
Inequivalent atoms, fractional coordinates:
Ba (0.3333, 0.6667, 0.0000) (multiplicity 2)
Ca (0.0000, 0.0000, 0.5000) (multiplicity 1)

***

B.
Here is a relaxed Ba2Ca crystal from the Alexandria database. Energies are from GGA-PBEsol.

- DOS(E_F) (states/eV/f.u.) = 5.147

Lattice parameters (Å, degrees): 4.7047 4.7047 14.1050 90.00 90.00 90.00
Space group I4/mmm (No. 139)
Inequivalent atoms, fractional coordinates:
Ba (0.0000, 0.0000, 0.1578) (multiplicity 4)
Ca (0.0000, 0.0000, 0.5000) (multiplicity 2)

***

Of them, A has the lowest stability.

***

A.
Here is a relaxed Ba2Ca crystal from the Alexandria database. Energies are from GGA-PBEsol.

- DOS(E_F) (states/eV/f.u.) = 4.965

Lattice parameters (Å, degrees): 6.7272 6.7272 8.0364 90.00 90.00 120.00
Space group P6_3/mmc (No. 194)
Inequivalent atoms, fractional coordinates:
Ba (0.0000, 0.0000, 0.0000) (multiplicity 2)
Ba (0.3333, 0.6667, 0.2500) (multiplicity 2)
Ca (0.3333, 0.6667, 0.7500) (multiplicity 2)

***

B.
Here is a relaxed Ba2Ca crystal from the Alexandria database. Energies are from GGA-PBEsol.

- DOS(E_F) (states/eV/f.u.) = 4.736

Lattice parameters (Å, degrees): 4.1686 4.1686 10.3262 90.00 90.00 120.00
Space group P-3m1 (No. 164)
Inequivalent atoms, fractional coordinates:
Ba (0.3333, 0.6667, 0.3227) (multiplicity 2)
Ca (0.0000, 0.0000, 0.0000) (multiplicity 1)

***

Of them, A has the lowest stability.

***

A.
Here is a relaxed Ba2Ca crystal from the Alexandria database. Energies are from GGA-PBEsol.

- DOS(E_F) (states/eV/f.u.) = 4.581

Lattice parameters (Å, degrees): 15.5377 4.1783 9.9001 90.00 105.81 90.00
Space group Cm (No. 8)
Inequivalent atoms, fractional coordinates:
Ba (0.0000, 0.0000, 0.0000) (multiplicity 2)
Ba (0.0528, 0.0000, 0.6032) (multiplicity 2)
Ba (0.1687, 0.5000, 0.3254) (multiplicity 2)
Ba (0.3296, 0.0000, 0.6648) (multiplicity 2)
Ca (0.2239, 0.5000, 0.9459) (multiplicity 2)
Ca (0.3826, 0.0000, 0.2634) (multiplicity 2)

***

B.
Here is a relaxed Ba2Ca crystal from the Alexandria database. Energies are from GGA-PBEsol.

- DOS(E_F) (states/eV/f.u.) = 4.494

Lattice parameters (Å, degrees): 17.4377 17.4377 17.4377 90.00 90.00 90.00
Space group Fd-3m (No. 227, origin choice 2)
Inequivalent atoms, fractional coordinates:
Ba (0.0000, 0.0000, 0.0000) (multiplicity 16)
Ba (0.0683, 0.3750, 0.8750) (multiplicity 48)
Ca (0.0435, 0.0435, 0.2065) (multiplicity 32)

***

Of them, B has the lowest stability.

***

A.
Here is a relaxed Ba4Ca5 crystal from the Alexandria database. Energies are from GGA-PBEsol.

- DOS(E_F) (states/eV/f.u.) = 15.334

Lattice parameters (Å, degrees): 11.3037 11.3037 7.7562 90.00 90.00 120.00
Space group P6_3/mcm (No. 193)
Inequivalent atoms, fractional coordinates:
Ba (0.0000, 0.0000, 0.0000) (multiplicity 2)
Ba (0.0000, 0.3233, 0.2500) (multiplicity 6)
Ca (0.0000, 0.3492, 0.7500) (multiplicity 6)
Ca (0.3333, 0.6667, 0.0000) (multiplicity 4)

***

B.
Here is a relaxed Ba4Ca5 crystal from the Alexandria database. Energies are from GGA-PBEsol.

- DOS(E_F) (states/eV/f.u.) = 9.569

Lattice parameters (Å, degrees): 13.3591 13.3591 4.8032 90.00 90.00 90.00
Space group I4/mmm (No. 139)
Inequivalent atoms, fractional coordinates:
Ba (0.0000, 0.3255, 0.0000) (multiplicity 8)
Ca (0.0000, 0.0000, 0.0000) (multiplicity 2)
Ca (0.1657, 0.1657, 0.5000) (multiplicity 8)

***

Of them, A has the lowest stability.